The following is a DFT calculation (GGA-PBE) of crystalline Cs3PuAs2O8 at its relaxed geometry.

Summary:
**Mass density**: 5.3 g/cm³
**DFT total energy**: -6.57 eV per atom

Unit cell a=6.1616 b=6.1616 c=8.7367 alpha=90.00 beta=90.00 gamma=120.00
Space group P-3m1 (No. 164)
Asymmetric unit:
Cs: 0.0000 0.0000 0.0000 [1 per cell]
Cs: 0.3333 0.6667 0.7523 [2 per cell]
Pu: 0.0000 0.0000 0.5000 [1 per cell]
As: 0.3333 0.6667 0.2795 [2 per cell]
O: 0.1791 0.3581 0.3458 [6 per cell]
O: 0.3333 0.6667 0.0853 [2 per cell]

=====

The following is a DFT calculation (GGA-PBE) of crystalline Ce6InAg2 at its relaxed geometry.

Summary:
**Mass density**: 8.5 g/cm³
**Formation enthalpy at 0 K**: 0.04 eV per atom
**DFT total energy**: -4.86 eV per atom

Unit cell a=11.4558 b=6.4216 c=6.2637 alpha=90.00 beta=93.41 gamma=90.00
Space group C2/m (No. 12)
Asymmetric unit:
Ce: 0.0000 0.2143 0.0000 [4 per cell]
Ce: 0.2126 0.2839 0.7907 [8 per cell]
In: 0.0000 0.0000 0.5000 [2 per cell]
Ag: 0.0918 0.5000 0.3777 [4 per cell]

=====

The following is a DFT calculation (GGA-PBE) of crystalline SrBe2Tc at its relaxed geometry.

Summary:
**Mass density**: 5.5 g/cm³
**Formation enthalpy at 0 K**: 0.78 eV per atom
**DFT total energy**: -4.10 eV per atom

Unit cell a=6.4332 b=6.9239 c=2.7612 alpha=90.00 beta=90.00 gamma=90.00
Space group Cmmm (No. 65)
Asymmetric unit:
Sr: 0.0000 0.0000 0.0000 [2 per cell]
Be: 0.2500 0.2500 0.5000 [4 per cell]
Tc: 0.0000 0.5000 0.0000 [2 per cell]

=====

The following is a DFT calculation (GGA-PBE) of crystalline VCuP at its relaxed geometry.

Summary:
**Mass density**: 6.1 g/cm³
**Formation enthalpy at 0 K**: -0.37 eV per atom
**DFT total energy**: -6.58 eV per atom

Unit cell a=3.6322 b=3.6322 c=6.0335 alpha=90.00 beta=90.00 gamma=90.00
Space group P4/nmm (No. 129, origin choice 2)
Asymmetric unit:
V: 0.2500 0.7500 0.0000 [2 per cell]
Cu: 0.2500 0.2500 0.3440 [2 per cell]
P: 0.2500 0.2500 0.7281 [2 per cell]

=====

The following is a DFT calculation (GGA-PBE) of crystalline TlCrW2 at its relaxed geometry.

Summary:
**Mass density**: 15.3 g/cm³
**Formation enthalpy at 0 K**: 0.61 eV per atom
**DFT total energy**: -8.87 eV per atom

Unit cell a=3.1974 b=4.7041 c=9.0224 alpha=90.00 beta=90.00 gamma=90.00
Space group Cmm2 (No. 35)
Asymmetric unit:
Tl: 0.0000 0.0000 0.0000 [2 per cell]
Cr: 0.0000 0.5000 0.7402 [2 per cell]
W: 0.0000 0.0000 0.5246 [2 per cell]
W: 0.0000 0.5000 0.2833 [2 per cell]

=====

The following is a DFT calculation (GGA-PBE) of crystalline LaScPd4 at its relaxed geometry.

Summary:
**Mass density**: 8.7 g/cm³
**Formation enthalpy at 0 K**: -0.81 eV per atom
**DFT total energy**: -6.15 eV per atom

Unit cell a=4.1610 b=19.8489 c=5.6618 alpha=90.00 beta=90.00 gamma=90.00
Space group Cmcm (No. 63)
Asymmetric unit:
La: 0.0000 0.2180 0.2500 [4 per cell]
Sc: 0.0000 0.0714 0.7500 [4 per cell]
Pd: 0.0000 0.0684 0.2500 [4 per cell]
Pd: 0.0000 0.3583 0.0018 [8 per cell]
Pd: 0.0000 0.5000 0.0000 [4 per cell]

=====

Which value of DFT total energy does entry 1 give? -6.57 eV per atom

=====

Number 1 is which compound? Cs3PuAs2O8

=====

The lowest DFT total energy belongs to which entry? TlCrW2

=====

mass density of number 1 (Cs3PuAs2O8)? 5.3 g/cm³